(1)
Entry from the Alexandria database: a relaxed Ce2HoAg6 crystal (GGA-PBE).

## Properties
mass density: 9.04 g/cm3
volume: 22.30 A^3/atom
magnetization: 2.722 μB/f.u.
E_form: -0.185 eV/atom

Cell lengths 3.2237, 8.4789, 8.4789 Å; angles 60.00, 89.99, 89.99 degrees
Last column: magnetic moment on the atom in μB.
Fractional coordinates of all 9 atoms:
Ag 0.4997 0.0000 0.6697  0.01
Ce 0.0000 0.6667 0.6667  1.00
Ag 0.4997 0.6697 0.0000  0.01
Ho 0.0000 0.0000 0.0000  -0.02
Ag 0.5003 0.0000 0.3303  0.01
Ag 0.5000 0.3303 0.6696  0.01
Ag 0.5003 0.3303 0.0000  0.01
Ce 0.0000 0.3333 0.3333  1.00
Ag 0.5000 0.6696 0.3303  0.01

(2)
Entry from the Alexandria database: a relaxed Ce2HoIn2Ag2 crystal (GGA-PBE).

## Properties
mass density: 8.58 g/cm3
volume: 24.61 A^3/atom
magnetization: 1.800 μB/f.u.
E_form: -0.232 eV/atom

Cell lengths 4.7732, 4.7732, 9.1570 Å; angles 74.89, 74.89, 60.00 degrees
Last column: magnetic moment on the atom in μB.
Fractional coordinates of all 7 atoms:
Ag 0.4014 0.4014 0.7957  0.00
Ce 0.8609 0.8609 0.4172  0.81
Ag 0.5986 0.5986 0.2043  0.00
Ho 0.0000 0.0000 0.0000  0.01
In 0.7327 0.7327 0.8018  -0.02
Ce 0.1391 0.1391 0.5828  0.81
In 0.2673 0.2673 0.1982  -0.02

(3)
Entry from the Alexandria database: a relaxed CeHoAgIr crystal (GGA-PBE).

## Properties
mass density: 11.23 g/cm3
volume: 22.37 A^3/atom
magnetization: 0.480 μB/f.u.
E_form: -0.476 eV/atom

Cell lengths 5.0207, 5.0207, 5.0207 Å; angles 60.00, 60.00, 60.00 degrees
Last column: magnetic moment on the atom in μB.
Fractional coordinates of all 4 atoms:
Ir 0.7500 0.7500 0.7500  -0.04
Ho 0.0000 0.0000 0.0000  0.02
Ag 0.2500 0.2500 0.2500  0.00
Ce 0.5000 0.5000 0.5000  0.44

(4)
Entry from the Alexandria database: a relaxed CeHoLuAg crystal (GGA-PBE).

## Properties
mass density: 9.78 g/cm3
volume: 24.95 A^3/atom
magnetization: 0.000 μB/f.u.
E_form: 0.138 eV/atom

Cell lengths 5.2067, 5.2067, 5.2067 Å; angles 60.00, 60.00, 60.00 degrees
Fractional coordinates of all 4 atoms:
Lu 0.5000 0.5000 0.5000
Ce 0.7500 0.7500 0.7500
Ag 0.2500 0.2500 0.2500
Ho 0.0000 0.0000 0.0000

(5)
Entry from the Alexandria database: a relaxed CePmHoAg crystal (GGA-PBE).

## Properties
mass density: 8.45 g/cm3
volume: 27.40 A^3/atom
magnetization: 2.831 μB/f.u.
E_form: 0.123 eV/atom

Cell lengths 5.3715, 5.3715, 5.3715 Å; angles 60.00, 60.00, 60.00 degrees
Last column: magnetic moment on the atom in μB.
Fractional coordinates of all 4 atoms:
Ag 0.2500 0.2500 0.2500  0.02
Pm 0.7500 0.7500 0.7500  0.56
Ho 0.0000 0.0000 0.0000  0.48
Ce 0.5000 0.5000 0.5000  1.01

(6)
Entry from the Alexandria database: a relaxed CePrHoAg crystal (GGA-PBE).

## Properties
mass density: 8.41 g/cm3
volume: 27.33 A^3/atom
magnetization: 2.824 μB/f.u.
E_form: 0.136 eV/atom

Cell lengths 5.3674, 5.3674, 5.3674 Å; angles 60.00, 60.00, 60.00 degrees
Last column: magnetic moment on the atom in μB.
Fractional coordinates of all 4 atoms:
Ce 0.7500 0.7500 0.7500  1.17
Pr 0.5000 0.5000 0.5000  0.28
Ag 0.2500 0.2500 0.2500  0.03
Ho 0.0000 0.0000 0.0000  0.49

(7)
Entry from the Alexandria database: a relaxed CeHoAgPt crystal (GGA-PBE).

## Properties
mass density: 10.88 g/cm3
volume: 23.20 A^3/atom
magnetization: 0.839 μB/f.u.
E_form: -0.641 eV/atom

Cell lengths 5.0821, 5.0821, 5.0821 Å; angles 60.00, 60.00, 60.00 degrees
Last column: magnetic moment on the atom in μB.
Fractional coordinates of all 4 atoms:
Pt 0.7500 0.7500 0.7500  -0.01
Ho 0.0000 0.0000 0.0000  0.05
Ce 0.5000 0.5000 0.5000  0.70
Ag 0.2500 0.2500 0.2500  0.00

(8)
Entry from the Alexandria database: a relaxed CeHoAgRh crystal (GGA-PBE).

## Properties
mass density: 9.51 g/cm3
volume: 22.52 A^3/atom
magnetization: 0.577 μB/f.u.
E_form: -0.446 eV/atom

Cell lengths 5.0320, 5.0320, 5.0320 Å; angles 60.00, 60.00, 60.00 degrees
Last column: magnetic moment on the atom in μB.
Fractional coordinates of all 4 atoms:
Ag 0.2500 0.2500 0.2500  0.00
Ce 0.0000 0.0000 0.0000  0.53
Ho 0.5000 0.5000 0.5000  0.02
Rh 0.7500 0.7500 0.7500  -0.05

(9)
Entry from the Alexandria database: a relaxed CeHoAgS4 crystal (GGA-PBE).

## Properties
mass density: 4.97 g/cm3
volume: 25.81 A^3/atom
magnetization: 0.000 μB/f.u.
formation energy without anion corrections: -146 kJ per mole of atoms

Cell lengths 7.8648, 7.9845, 7.9845 Å; angles 61.60, 60.49, 60.49 degrees
Fractional coordinates of all 14 atoms:
S 0.2421 0.2390 0.2768
S 0.7729 0.2431 0.7431
Ho 0.5000 0.0000 0.5000
S 0.7579 0.7610 0.7232
Ag 0.6330 0.6170 0.1170
S 0.7590 0.7569 0.2569
Ce 0.0000 0.0000 0.0000
S 0.2421 0.7768 0.7390
Ag 0.3670 0.3830 0.8830
Ho 0.0000 0.0000 0.5000
Ce 0.0000 0.5000 0.5000
S 0.2410 0.2431 0.7431
S 0.2271 0.7569 0.2569
S 0.7579 0.2232 0.2610

(10)
Entry from the Alexandria database: a relaxed Ce2HoAgS5 crystal (GGA-PBE).

## Properties
mass density: 5.94 g/cm3
volume: 22.15 A^3/atom
magnetization: 0.991 μB/f.u.
formation energy without anion corrections: -160 kJ per mole of atoms

Cell lengths 3.9646, 8.5132, 12.1473 Å; angles 89.97, 90.00, 103.46 degrees
Last column: magnetic moment on the atom in μB.
Fractional coordinates of all 18 atoms:
S 0.5015 0.0030 0.2732  0.00
Ag 0.5255 0.0509 0.9693  0.00
S 0.6437 0.2874 0.4999  0.00
S 0.4984 0.9968 0.7732  -0.03
S 0.2895 0.5790 0.6613  -0.02
Ag 0.4750 0.9500 0.4695  0.00
S 0.3564 0.7128 0.0001  -0.02
S 0.0461 0.0923 0.0842  0.00
S 0.9538 0.9076 0.5843  -0.01
S 0.6938 0.3877 0.8461  -0.01
Ce 0.8735 0.7470 0.8029  0.89
S 0.7103 0.4206 0.1614  0.00
Ce 0.1127 0.2254 0.6836  0.91
Ce 0.8871 0.7741 0.1829  0.91
Ho 0.1936 0.3871 0.0038  0.00
S 0.3062 0.6123 0.3458  0.00
Ho 0.8066 0.6131 0.5036  0.01
Ce 0.1265 0.2530 0.3029  -0.85

(11)
Entry from the Alexandria database: a relaxed CeHo2Ag3Se6 crystal (GGA-PBE).

## Properties
mass density: 6.50 g/cm3
volume: 26.96 A^3/atom
magnetization: 1.005 μB/f.u.
formation energy without anion corrections: -112 kJ per mole of atoms

Cell lengths 4.2459, 9.6877, 8.4108 Å; angles 104.36, 104.62, 90.00 degrees
Last column: magnetic moment on the atom in μB.
Fractional coordinates of all 12 atoms:
Ag 0.8288 0.0476 0.6577  0.00
Se 0.6591 0.5336 0.3182  0.00
Se 0.0124 0.7901 0.0248  -0.01
Ho 0.8361 0.6587 0.6722  0.01
Ag 0.1712 0.9524 0.3423  0.00
Ag 0.5000 0.5000 0.0000  0.00
Se 0.3127 0.8547 0.6253  -0.01
Se 0.3409 0.4664 0.6818  0.00
Se 0.6873 0.1453 0.3747  -0.01
Ce 0.5000 0.0000 0.0000  0.94
Ho 0.1639 0.3413 0.3278  0.01
Se 0.9876 0.2099 0.9752  -0.01

(12)
Entry from the Alexandria database: a relaxed CeHoSiAg crystal (GGA-PBE).

## Properties
mass density: 7.79 g/cm3
volume: 23.50 A^3/atom
magnetization: 1.404 μB/f.u.
formation energy without anion corrections: -34 kJ per mole of atoms

Cell lengths 5.1039, 5.1039, 5.1039 Å; angles 60.00, 60.00, 60.00 degrees
Last column: magnetic moment on the atom in μB.
Fractional coordinates of all 4 atoms:
Si 0.5000 0.5000 0.5000  -0.02
Ho 0.2500 0.2500 0.2500  0.21
Ag 0.0000 0.0000 0.0000  0.03
Ce 0.7500 0.7500 0.7500  0.86

(13)
Entry from the Alexandria database: a relaxed Ce2HoAg2Sn2 crystal (GGA-PBE).

## Properties
mass density: 8.64 g/cm3
volume: 24.66 A^3/atom
magnetization: 2.381 μB/f.u.
E_form: -0.342 eV/atom

Cell lengths 4.7124, 4.7124, 9.3796 Å; angles 75.45, 75.45, 60.00 degrees
Last column: magnetic moment on the atom in μB.
Fractional coordinates of all 7 atoms:
Ce 0.8570 0.8570 0.4289  0.98
Ag 0.4174 0.4174 0.7478  0.01
Ce 0.1430 0.1430 0.5711  0.98
Ag 0.5826 0.5826 0.2522  0.01
Ho 0.0000 0.0000 0.0000  0.07
Sn 0.2693 0.2693 0.1920  -0.01
Sn 0.7307 0.7307 0.8080  -0.01

(14)
Entry from the Alexandria database: a relaxed CeHoTcAg crystal (GGA-PBE).

## Properties
mass density: 9.59 g/cm3
volume: 22.12 A^3/atom
magnetization: 0.364 μB/f.u.
E_form: -0.076 eV/atom

Cell lengths 5.0015, 5.0015, 5.0015 Å; angles 60.00, 60.00, 60.00 degrees
Last column: magnetic moment on the atom in μB.
Fractional coordinates of all 4 atoms:
Ce 0.2500 0.2500 0.2500  0.33
Ag 0.0000 0.0000 0.0000  0.01
Ho 0.7500 0.7500 0.7500  0.01
Tc 0.5000 0.5000 0.5000  -0.05

(15)
Entry from the Alexandria database: a relaxed Ce2HoTl2Ag2 crystal (GGA-PBE).

## Properties
mass density: 10.20 g/cm3
volume: 24.89 A^3/atom
magnetization: 1.325 μB/f.u.
E_form: -0.125 eV/atom

Cell lengths 4.7936, 4.7936, 9.1808 Å; angles 74.87, 74.87, 60.00 degrees
Last column: magnetic moment on the atom in μB.
Fractional coordinates of all 7 atoms:
Tl 0.2717 0.2717 0.1849  -0.02
Ce 0.1429 0.1429 0.5713  0.66
Ag 0.4253 0.4253 0.7242  -0.01
Ho 0.0000 0.0000 0.0000  -0.02
Ag 0.5747 0.5747 0.2758  -0.01
Tl 0.7283 0.7283 0.8151  -0.02
Ce 0.8571 0.8571 0.4287  0.66

(16)
Entry from the Alexandria database: a relaxed CeHoTmAg crystal (GGA-PBE).

## Properties
mass density: 9.32 g/cm3
volume: 25.91 A^3/atom
magnetization: 2.994 μB/f.u.
E_form: 0.133 eV/atom

Cell lengths 5.2721, 5.2721, 5.2721 Å; angles 60.00, 60.00, 60.00 degrees
Last column: magnetic moment on the atom in μB.
Fractional coordinates of all 4 atoms:
Ho 0.0000 0.0000 0.0000  0.51
Ce 0.7500 0.7500 0.7500  1.23
Ag 0.2500 0.2500 0.2500  0.03
Tm 0.5000 0.5000 0.5000  0.53

(17)
Entry from the Alexandria database: a relaxed CeAg3I8 crystal (GGA-PBE).

## Properties
mass density: 5.14 g/cm3
volume: 39.84 A^3/atom
magnetization: 0.000 μB/f.u.
formation energy without anion corrections: -54 kJ per mole of atoms

Cell lengths 8.7256, 8.6022, 8.9413 Å; angles 119.02, 90.00, 120.48 degrees
Fractional coordinates of all 12 atoms:
I 0.7562 0.9974 0.2459
Ag 0.0000 0.5000 0.0000
I 0.2676 0.5351 0.8040
Ce 0.0000 0.0000 0.0000
I 0.7535 0.5070 0.7433
Ag 0.5000 0.0000 0.0000
I 0.2412 0.9974 0.2459
I 0.7324 0.4649 0.1960
I 0.2465 0.4930 0.2567
Ag 0.5000 0.5000 0.0000
I 0.2438 0.0026 0.7541
I 0.7588 0.0026 0.7541

(18)
Entry from the Alexandria database: a relaxed CeAgI6 crystal (GGA-PBE).

## Properties
polymorph energy (0 for the lowest one): 43 kJ/mol of formula units
mass density: 4.84 g/cm3
volume: 43.33 A^3/atom
magnetization: 0.000 μB/f.u.
formation energy without anion corrections: -65 kJ per mole of atoms

Cell lengths 7.1195, 8.1504, 8.4327 Å; angles 57.24, 62.24, 61.33 degrees
Fractional coordinates of all 8 atoms:
I 0.2461 0.8883 0.2794
I 0.7539 0.1117 0.7206
I 0.9078 0.5854 0.2354
Ag 0.5000 0.5000 0.5000
I 0.4010 0.7780 0.7705
I 0.5990 0.2220 0.2295
I 0.0922 0.4146 0.7646
Ce 0.0000 0.0000 0.0000

(19)
Entry from the Alexandria database: a relaxed CeAgI6 crystal (GGA-PBE).

## Properties
polymorph energy (0 for the lowest one): 0 kJ/mol of formula units
mass density: 4.07 g/cm3
volume: 51.49 A^3/atom
magnetization: 0.000 μB/f.u.
formation energy without anion corrections: -71 kJ per mole of atoms

Cell lengths 8.0131, 8.0131, 7.2388 Å; angles 105.06, 105.06, 102.85 degrees
Fractional coordinates of all 8 atoms:
I 0.2741 0.2741 0.8838
I 0.0376 0.7073 0.6979
I 0.7259 0.7259 0.1162
Ag 0.0000 0.0000 0.0000
I 0.9624 0.2927 0.3021
I 0.7073 0.0376 0.6979
I 0.2927 0.9624 0.3021
Ce 0.0000 0.0000 0.5000

(20)
Entry from the Alexandria database: a relaxed CeAgI crystal (GGA-PBE).

## Properties
mass density: 5.83 g/cm3
volume: 35.57 A^3/atom
magnetization: 1.733 μB/f.u.
formation energy without anion corrections: -60 kJ per mole of atoms

Cell lengths 4.6541, 4.6541, 11.6893 Å; angles 78.52, 78.52, 60.00 degrees
Last column: magnetic moment on the atom in μB.
Fractional coordinates of all 6 atoms:
Ce 0.4439 0.4439 0.6682  1.20
Ag 0.8365 0.8365 0.4906  0.04
Ag 0.1635 0.1635 0.5094  0.04
I 0.7204 0.7204 0.8387  0.00
I 0.2796 0.2796 0.1613  0.00
Ce 0.5561 0.5561 0.3318  1.20